## Tb5Dy4Tm2 (PBE)

Data for Tb5Dy4Tm2 after structural relaxation.

Structure (POSCAR):
```
Tb5Dy4Tm2
1.0
7.284 0.000 0.000
3.642 5.425 0.722
3.642 1.655 9.029
Tb Dy Tm
5 4 2
Direct
0.211 0.362 0.775
0.652 0.362 0.775
0.000 0.500 0.500
0.348 0.638 0.225
0.789 0.638 0.225
0.668 0.783 0.881
0.689 0.121 0.500
0.332 0.217 0.119
0.311 0.879 0.500
0.145 0.830 0.880
0.855 0.170 0.120
```

Energy of formation: 0.13 eV/atom
Total magnetization: 0.000 μB/atom
Space group: No. 12

***

## InCuAs2 (PBE)

Data for InCuAs2 after structural relaxation.

Structure (POSCAR):
```
InCuAs2
1.0
2.974 0.000 0.000
0.000 3.620 0.000
0.000 0.000 7.527
As Cu In
2 1 1
Direct
0.000 0.000 0.072
0.000 0.000 0.428
0.500 0.500 0.250
0.500 0.500 0.750
```

Energy of formation: 0.17 eV/atom
Total magnetization: 0.000 μB/atom
Space group: No. 47

***

## CdTeSe (PBE)

Data for CdTeSe after structural relaxation.

Structure (POSCAR):
```
CdTeSe
1.0
-0.341 -6.978 3.336
4.620 0.576 1.678
-3.356 3.936 7.890
Cd Se Te
4 4 4
Direct
0.500 0.500 0.836
0.500 0.000 0.336
0.000 0.500 0.836
0.000 0.000 0.336
0.250 0.342 0.230
0.250 0.158 0.730
0.750 0.842 0.730
0.750 0.658 0.230
0.750 0.146 0.963
0.750 0.354 0.463
0.250 0.646 0.463
0.250 0.854 0.963
```

Total magnetization: 0.000 μB/atom
Space group: No. 46
Raw formation energy: -0.280 eV/atom

***

## BaP2Ir (PBE)

Data for BaP2Ir after structural relaxation.

Structure (POSCAR):
```
BaP2Ir
1.0
3.939 0.000 0.000
0.000 5.110 -0.057
0.000 0.236 4.762
P Ba Ir
2 1 1
Direct
0.000 0.773 0.022
0.000 0.727 0.478
0.500 0.250 0.250
0.500 0.750 0.750
```

Energy of formation: -0.76 eV/atom
Total magnetization: 0.000 μB/atom
Space group: No. 10

***

## BaMnRe2 (PBE)

Data for BaMnRe2 after structural relaxation.

Structure (POSCAR):
```
BaMnRe2
1.0
-1.968 -3.104 -2.986
-1.354 -4.259 1.565
-4.607 -1.036 0.359
Ba Re Mn
1 2 1
Direct
0.500 0.500 0.500
0.250 0.250 0.250
0.000 0.000 0.000
0.750 0.750 0.750
```

Energy of formation: 1.33 eV/atom
Total magnetization: 0.664 μB/atom
Space group: No. 216

***

## CoPt6Rh2 (PBE)

Data for CoPt6Rh2 after structural relaxation.

Structure (POSCAR):
```
CoPt6Rh2
1.0
-0.969 2.301 -1.068
-5.679 -0.015 5.121
6.593 3.523 1.612
Pt Co Rh
6 1 2
Direct
0.214 0.671 0.671
0.786 0.000 0.671
0.786 0.329 0.329
0.214 0.000 0.329
0.214 0.329 0.000
0.786 0.671 0.000
0.000 0.000 0.000
0.500 0.333 0.667
0.500 0.667 0.333
```

Energy of formation: 0.16 eV/atom
Total magnetization: 0.375 μB/atom
Space group: No. 162

***

## K2SnBr4 (PBE)

Data for K2SnBr4 after structural relaxation.

Structure (POSCAR):
```
K2SnBr4
1.0
-4.334 -3.853 -0.576
1.266 -0.579 -5.659
3.810 -8.503 -1.278
Br K Sn
4 2 1
Direct
0.000 0.500 0.000
0.174 0.174 0.652
0.826 0.826 0.348
0.500 0.000 0.000
0.363 0.363 0.275
0.637 0.637 0.725
0.000 0.000 0.000
```

Total magnetization: 0.000 μB/atom
Space group: No. 139
Raw formation energy: -1.283 eV/atom

***

## Si2Ge2F (PBE)

Data for Si2Ge2F after structural relaxation.

Structure (POSCAR):
```
Si2Ge2F
1.0
7.352 0.000 0.000
0.000 7.352 0.000
0.000 0.000 3.017
Si Ge F
4 4 2
Direct
0.350 0.850 0.000
0.150 0.350 0.000
0.850 0.650 0.000
0.650 0.150 0.000
0.149 0.649 0.500
0.351 0.149 0.500
0.851 0.351 0.500
0.649 0.851 0.500
0.000 0.000 0.000
0.500 0.500 0.000
```

Total magnetization: 0.000 μB/atom
Space group: No. 127
Raw formation energy: -0.025 eV/atom

***

## ReIr3 (PBE)

Data for ReIr3 after structural relaxation.

Structure (POSCAR):
```
ReIr3
1.0
-2.550 -1.756 -4.533
4.201 -0.398 -2.209
1.063 -12.636 4.298
Ir Re
18 6
Direct
0.502 0.498 0.750
0.000 0.169 0.917
0.000 0.831 0.417
0.250 0.331 0.414
0.000 0.169 0.583
0.000 0.831 0.083
0.500 0.169 0.917
0.750 0.669 0.586
0.750 0.669 0.914
0.750 0.008 0.250
0.500 0.831 0.417
0.250 0.331 0.086
0.498 0.502 0.250
0.250 0.992 0.750
0.998 0.498 0.750
0.500 0.169 0.583
0.500 0.831 0.083
0.002 0.502 0.250
0.250 0.997 0.250
0.750 0.003 0.750
0.250 0.672 0.585
0.250 0.672 0.915
0.750 0.328 0.085
0.750 0.328 0.415
```

Energy of formation: -0.11 eV/atom
Total magnetization: 0.000 μB/atom
Space group: No. 59

***

## NpCu3Ge2 (PBE)

Data for NpCu3Ge2 after structural relaxation.

Structure (POSCAR):
```
NpCu3Ge2
1.0
-2.141 -0.438 -3.647
-4.638 -6.113 0.978
-7.492 0.464 1.863
Cu Ge Np
6 4 2
Direct
0.323 0.478 0.876
0.000 0.337 0.663
0.000 0.663 0.337
0.323 0.876 0.478
0.677 0.124 0.522
0.677 0.522 0.124
0.188 0.312 0.312
0.500 0.177 0.823
0.500 0.823 0.177
0.812 0.688 0.688
0.868 0.131 0.132
0.132 0.869 0.868
```

Energy of formation: -0.01 eV/atom
Total magnetization: 0.611 μB/atom
Space group: No. 71

***

## TlCd3Ag4Cl12 (PBE)

Data for TlCd3Ag4Cl12 after structural relaxation.

Structure (POSCAR):
```
TlCd3Ag4Cl12
1.0
-3.968 0.506 -7.983
-1.103 -8.362 2.931
-4.574 5.320 5.523
Cl Cd Ag Tl
12 3 4 1
Direct
0.341 0.985 0.260
0.917 0.500 0.083
0.327 0.673 0.500
0.673 0.500 0.327
0.083 0.917 0.500
0.985 0.260 0.341
0.500 0.327 0.673
0.740 0.015 0.659
0.659 0.740 0.015
0.015 0.659 0.740
0.500 0.083 0.917
0.260 0.341 0.985
0.000 0.579 0.421
0.579 0.421 0.000
0.421 0.000 0.579
0.897 0.103 0.500
0.103 0.500 0.897
0.500 0.500 0.500
0.500 0.897 0.103
0.000 0.000 0.000
```

Total magnetization: 0.000 μB/atom
Space group: No. 155
Raw formation energy: -0.730 eV/atom